# Sr2Li2Pt PBEsol relaxed
data_Sr2Li2Pt
_cell_length_a 4.8756
_cell_length_b 7.1288
_cell_length_c 7.1288
_cell_angle_alpha 90.00
_cell_angle_beta 90.00
_cell_angle_gamma 90.00
_space_group_name_H-M_alt 'P 1'
_space_group_IT_number 1
_space_group_name_Hall 'P 1'
loop_
_atom_site_label
_atom_site_fract_x
_atom_site_fract_y
_atom_site_fract_z
_atom_site_occupancy
Sr1 0.5000 0.1960 0.6960 1
Sr2 0.5000 0.6960 0.8040 1
Sr3 0.5000 0.8040 0.3040 1
Sr4 0.5000 0.3040 0.1960 1
Pt1 0.0000 0.0000 0.0000 1
Pt2 0.0000 0.5000 0.5000 1
Li1 0.0000 0.3623 0.8623 1
Li2 0.0000 0.8623 0.6377 1
Li3 0.0000 0.6377 0.1377 1
Li4 0.0000 0.1377 0.3623 1
# - N(E_F): 0.747 states/eV/atom
# - Total magnetization: 0.00 μB per formula unit
# - DFT total energy: -30.31 eV per cell
# - Calculated density: 5150 kg/m³